DFT (GGA-PBE) results for crystalline Li2ReOs at its relaxed geometry.

```
Li2ReOs
1.0
1.3746 0.7937 9.3529
-1.3746 0.7937 9.3529
0.0000 -1.5873 9.3529
Li Re Os
2 1 1
direct
0.0000 0.0000 0.0000 Li
0.2426 0.2426 0.2426 Li
0.4906 0.4906 0.4906 Re
0.7493 0.7493 0.7493 Os
```

Output
**Space group**: R3m, No. 160
**Energy above the lowest structure with this stoichiometry**: 57 meV per atom


DFT (GGA-PBE) results for crystalline KHg3Pd at its relaxed geometry.

```
KHg3Pd
1.0
3.7335 2.1555 5.5653
-3.7335 2.1555 5.5653
0.0000 -4.3110 5.5653
K Hg Pd
1 3 1
direct
0.0000 0.0000 0.0000 K
0.0482 0.0482 0.4554 Hg
0.0482 0.4554 0.0482 Hg
0.4554 0.0482 0.0482 Hg
0.8079 0.8079 0.8079 Pd
```

Output
**Space group**: R3m, No. 160
**Energy above the lowest structure with this stoichiometry**: 362 meV per atom


DFT (GGA-PBE) results for crystalline LiAlGe2 at its relaxed geometry.

```
LiAlGe2
1.0
-3.7526 3.7526 2.7407
3.7526 -3.7526 2.7407
3.7526 3.7526 -2.7407
Li Al Ge
2 2 4
direct
0.0000 0.0000 0.0000 Li
0.7500 0.2500 0.5000 Li
0.2500 0.7500 0.5000 Al
0.5000 0.5000 0.0000 Al
0.1601 0.6250 0.0351 Ge
0.3750 0.4101 0.5351 Ge
0.5899 0.1250 0.9649 Ge
0.8750 0.8399 0.4649 Ge
```

Output
**Space group**: I-42d, No. 122
**Energy above the lowest structure with this stoichiometry**: 171 meV per atom


DFT (GGA-PBE) results for crystalline Ce2PmMg at its relaxed geometry.

```
Ce2PmMg
1.0
4.7739 0.0000 0.0000
0.0000 4.7739 0.0000
0.0000 0.0000 5.1063
Ce Pm Mg
2 1 1
direct
0.0000 0.5000 0.0000 Ce
0.5000 0.0000 0.0000 Ce
0.0000 0.0000 0.5000 Pm
0.5000 0.5000 0.5000 Mg
```

Output
**Space group**: P4/mmm, No. 123
**Energy above the lowest structure with this stoichiometry**: 0 meV per atom


DFT (GGA-PBE) results for crystalline Sc2TiSe at its relaxed geometry.

```
Sc2TiSe
1.0
1.6444 0.9494 9.8245
-1.6444 0.9494 9.8245
0.0000 -1.8987 9.8245
Sc Ti Se
2 1 1
direct
0.0871 0.0871 0.0871 Sc
0.9129 0.9129 0.9129 Sc
0.5000 0.5000 0.5000 Ti
0.0000 0.0000 0.0000 Se
```

Output
**Energy relative to the elements, uncorrected**: -39 meV/atom
**Space group**: R-3m, No. 166


DFT (GGA-PBE) results for crystalline Tl2ZnCdSn2 at its relaxed geometry.

```
Tl2ZnCdSn2
1.0
-3.1359 8.3321 3.1290
3.1359 -8.3321 3.1290
3.1359 8.3321 -3.1290
Tl Zn Cd Sn
4 2 2 4
direct
0.1830 0.2156 0.3986 Tl
0.3170 0.7156 0.0326 Tl
0.6830 0.2844 0.9674 Tl
0.8170 0.7844 0.6014 Tl
0.2500 0.7500 0.5000 Zn
0.7500 0.2500 0.5000 Zn
0.2500 0.2500 0.0000 Cd
0.7500 0.7500 0.0000 Cd
0.1165 0.7115 0.8281 Sn
0.3835 0.2115 0.5950 Sn
0.6165 0.7885 0.4050 Sn
0.8835 0.2885 0.1719 Sn
```

Output
**Space group**: Ibam, No. 72


DFT (GGA-PBE) results for crystalline Pm12NdTh7 at its relaxed geometry.

```
Pm12NdTh7
1.0
-5.7982 5.7982 5.7982
5.7982 -5.7982 5.7982
5.7982 5.7982 -5.7982
Pm Nd Th
12 1 7
direct
0.0773 0.3075 0.7698 Pm
0.2302 0.5377 0.3075 Pm
0.2302 0.9227 0.6925 Pm
0.3075 0.2302 0.5377 Pm
0.3075 0.7698 0.0773 Pm
0.4623 0.6925 0.7698 Pm
0.5377 0.3075 0.2302 Pm
0.6925 0.2302 0.9227 Pm
0.6925 0.7698 0.4623 Pm
0.7698 0.0773 0.3075 Pm
0.7698 0.4623 0.6925 Pm
0.9227 0.6925 0.2302 Pm
0.0000 0.0000 0.0000 Nd
0.0000 0.0000 0.5000 Th
0.0000 0.5000 0.0000 Th
0.0000 0.5000 0.5000 Th
0.5000 0.0000 0.0000 Th
0.5000 0.0000 0.5000 Th
0.5000 0.5000 0.0000 Th
0.5000 0.5000 0.5000 Th
```

Output
**Space group**: Im-3, No. 204


DFT (GGA-PBE) results for crystalline KNiAuCl6 at its relaxed geometry.

```
KNiAuCl6
1.0
6.4305 0.0000 0.0000
-3.2153 5.5690 0.0000
0.0000 0.0000 7.0208
K Ni Au Cl
1 1 1 6
direct
0.0000 0.0000 0.0000 K
0.6667 0.3333 0.5000 Ni
0.3333 0.6667 0.5000 Au
0.3756 0.0166 0.6973 Cl
0.3756 0.3590 0.3027 Cl
0.6410 0.0166 0.3027 Cl
0.6410 0.6244 0.6973 Cl
0.9834 0.3590 0.6973 Cl
0.9834 0.6244 0.3027 Cl
```

Output
**Energy relative to the elements, uncorrected**: -671 meV/atom
**Space group**: P312, No. 149


DFT (GGA-PBE) results for crystalline Er2B2Cl2O5 at its relaxed geometry.

```
Er2B2Cl2O5
1.0
10.0916 0.0000 0.0000
0.0000 14.8956 0.0000
0.0000 0.0000 5.2910
Er B Cl O
8 8 8 20
direct
0.0312 0.1207 0.0000 Er
0.0684 0.6093 0.0000 Er
0.4316 0.1093 0.0000 Er
0.4688 0.6207 0.0000 Er
0.5312 0.3793 0.0000 Er
0.5684 0.8907 0.0000 Er
0.9316 0.3907 0.0000 Er
0.9688 0.8793 0.0000 Er
0.1983 0.2670 0.0000 B
0.2444 0.9345 0.0000 B
0.2556 0.4345 0.0000 B
0.3017 0.7670 0.0000 B
0.6983 0.2330 0.0000 B
0.7444 0.5655 0.0000 B
0.7556 0.0655 0.0000 B
0.8017 0.7330 0.0000 B
0.0111 0.1312 0.5000 Cl
0.0832 0.6098 0.5000 Cl
0.4168 0.1098 0.5000 Cl
0.4889 0.6312 0.5000 Cl
0.5111 0.3688 0.5000 Cl
0.5832 0.8902 0.5000 Cl
0.9168 0.3902 0.5000 Cl
0.9889 0.8688 0.5000 Cl
0.0631 0.2753 0.0000 O
0.1287 0.4642 0.0000 O
0.1331 0.9873 0.0000 O
0.2126 0.8404 0.0000 O
0.2444 0.1807 0.0000 O
0.2556 0.6807 0.0000 O
0.2874 0.3404 0.0000 O
0.3669 0.4873 0.0000 O
0.3713 0.9642 0.0000 O
0.4369 0.7753 0.0000 O
0.5631 0.2247 0.0000 O
0.6287 0.0358 0.0000 O
0.6331 0.5127 0.0000 O
0.7126 0.6596 0.0000 O
0.7444 0.3193 0.0000 O
0.7556 0.8193 0.0000 O
0.7874 0.1596 0.0000 O
0.8669 0.0127 0.0000 O
0.8713 0.5358 0.0000 O
0.9369 0.7247 0.0000 O
```

Output
**Energy relative to the elements, uncorrected**: -2844 meV/atom
**Space group**: Pbam, No. 55


DFT (GGA-PBE) results for crystalline Al2HgBr6 at its relaxed geometry.

```
Al2HgBr6
1.0
8.4263 -7.5178 0.0000
8.4263 7.5178 0.0000
-3.0739 0.0000 6.9262
Al Hg Br
4 2 12
direct
0.0058 0.5901 0.8632 Al
0.4099 0.9942 0.6368 Al
0.5901 0.0058 0.3632 Al
0.9942 0.4099 0.1368 Al
0.4907 0.5093 0.2500 Hg
0.5093 0.4907 0.7500 Hg
0.0650 0.3731 0.8489 Br
0.1607 0.4006 0.3903 Br
0.1737 0.7042 0.9335 Br
0.2958 0.8263 0.5665 Br
0.3731 0.0650 0.3489 Br
0.4006 0.1607 0.8903 Br
0.5994 0.8393 0.1097 Br
0.6269 0.9350 0.6511 Br
0.7042 0.1737 0.4335 Br
0.8263 0.2958 0.0665 Br
0.8393 0.5994 0.6097 Br
0.9350 0.6269 0.1511 Br
```

Output
**Energy relative to the elements, uncorrected**: -955 meV/atom
**Space group**: C2/c, No. 15


DFT (GGA-PBE) results for crystalline AlSi2Os at its relaxed geometry.

```
AlSi2Os
1.0
2.9665 0.0000 0.0000
0.0000 3.5316 0.0000
0.0000 0.0000 5.2853
Al Si Os
1 2 1
direct
0.0000 0.0000 0.0000 Al
0.5000 0.5000 0.2550 Si
0.5000 0.5000 0.7450 Si
0.0000 0.0000 0.5000 Os
```

Output
**Energy relative to the elements, uncorrected**: 99 meV/atom
**Space group**: Pmmm, No. 47


DFT (GGA-PBE) results for crystalline NaLiGa2O4 at its relaxed geometry.

```
NaLiGa2O4
1.0
-2.2200 2.2200 4.9733
2.2200 -2.2200 4.9733
2.2200 2.2200 -4.9733
Na Li Ga O
1 1 2 4
direct
0.0000 0.0000 0.0000 Na
0.5000 0.5000 0.0000 Li
0.2500 0.7500 0.5000 Ga
0.7500 0.2500 0.5000 Ga
0.1241 0.1241 0.5372 O
0.4131 0.8759 0.0000 O
0.5869 0.5869 0.4628 O
0.8759 0.4131 0.0000 O
```

Output
**Energy relative to the elements, uncorrected**: -1874 meV/atom
**Space group**: I-42m, No. 121


These records have raw total energy values of -6.705 -1.319 -3.625 -4.453 -6.049 -2.443 -4.826 -3.030 -7.477 -2.935 -6.356 -5.514 eV per atom, in the order they appear.